No. 1
RbCuAgF6 after structural relaxation, computed with GGA-PBE.

Geometry as CIF:
```
data_RbCuAgF6
_chemical_formula_sum 'Rb2 Cu2 Ag2 F12'
_space_group_name_H-M_alt 'C 1 2 1'
_space_group_IT_number 5
_space_group_name_Hall 'C 2y'
_cell_length_a 5.758
_cell_length_b 9.650
_cell_length_c 5.845
_cell_angle_alpha 90.00
_cell_angle_beta 90.61
_cell_angle_gamma 90.00
loop_
_atom_site_label
_atom_site_type_symbol
_atom_site_fract_x
_atom_site_fract_y
_atom_site_fract_z
Rb1 Rb 0.000 0.000 0.000
Cu1 Cu 0.000 0.663 0.500
Ag1 Ag 0.000 0.333 0.500
F1 F 0.120 0.511 0.693
F2 F 0.142 0.795 0.698
F3 F 0.207 0.174 0.672
```

Its formation energy from raw total energies is -1.64 eV/atom. The density of states at the Fermi level comes out at 6.6 states/eV/cell.

=====

No. 2
SmHgRh after structural relaxation, computed with GGA-PBE.

Geometry as CIF:
```
data_SmHgRh
_chemical_formula_sum 'Sm1 Hg1 Rh1'
_space_group_name_H-M_alt 'P -6 m 2'
_space_group_IT_number 187
_space_group_name_Hall 'P -6 2'
_cell_length_a 4.7231
_cell_length_b 4.7231
_cell_length_c 3.4977
_cell_angle_alpha 90.00
_cell_angle_beta 90.00
_cell_angle_gamma 120.00
loop_
_atom_site_label
_atom_site_type_symbol
_atom_site_fract_x
_atom_site_fract_y
_atom_site_fract_z
Sm1 Sm 0.0000 0.0000 0.0000
Hg1 Hg 0.3333 0.6667 0.5000
Rh1 Rh 0.6667 0.3333 0.5000
```

The formation energy comes out at -0.410 eV/atom. The density of states at the Fermi level comes out at 2.8 states/eV/cell.

=====

No. 3
Nd4HoEr3Se8 after structural relaxation, computed with GGA-PBE.

Geometry as CIF:
```
data_Nd4HoEr3Se8
_chemical_formula_sum 'Nd12 Ho3 Er9 Se24'
_space_group_name_H-M_alt 'R -3 m'
_space_group_IT_number 166
_space_group_name_Hall '-R 3 2"'
_cell_length_a 8.1599
_cell_length_b 8.1599
_cell_length_c 20.8545
_cell_angle_alpha 90.00
_cell_angle_beta 90.00
_cell_angle_gamma 120.00
loop_
_atom_site_label
_atom_site_type_symbol
_atom_site_fract_x
_atom_site_fract_y
_atom_site_fract_z
Nd1 Nd 0.0000 0.0000 0.0000
Nd2 Nd 0.0000 0.5000 0.0000
Ho1 Ho 0.0000 0.0000 0.5000
Er1 Er 0.0000 0.5000 0.5000
Se1 Se 0.0000 0.0000 0.2436
Se2 Se 0.0008 0.5004 0.7562
```

Its formation energy from raw total energies is -1.78 eV/atom. The density of states at the Fermi level comes out at 25.7 states/eV/cell.

=====

No. 4
PmGaRh after structural relaxation, computed with GGA-PBE.

Geometry as CIF:
```
data_PmGaRh
_chemical_formula_sum 'Pm1 Ga1 Rh1'
_space_group_name_H-M_alt 'P -6 m 2'
_space_group_IT_number 187
_space_group_name_Hall 'P -6 2'
_cell_length_a 4.3484
_cell_length_b 4.3484
_cell_length_c 3.8997
_cell_angle_alpha 90.00
_cell_angle_beta 90.00
_cell_angle_gamma 120.00
loop_
_atom_site_label
_atom_site_type_symbol
_atom_site_fract_x
_atom_site_fract_y
_atom_site_fract_z
Pm1 Pm 0.0000 0.0000 0.0000
Ga1 Ga 0.3333 0.6667 0.5000
Rh1 Rh 0.6667 0.3333 0.5000
```

The formation energy comes out at -0.745 eV/atom. The density of states at the Fermi level comes out at 2.9 states/eV/cell.

=====

No. 5
Li4Mg3Hg2 after structural relaxation, computed with GGA-PBE.

Geometry as CIF:
```
data_Li4Mg3Hg2
_chemical_formula_sum 'Li8 Mg6 Hg4'
_space_group_name_H-M_alt 'C 1 2/m 1'
_space_group_IT_number 12
_space_group_name_Hall '-C 2y'
_cell_length_a 10.141
_cell_length_b 4.699
_cell_length_c 8.762
_cell_angle_alpha 90.00
_cell_angle_beta 123.40
_cell_angle_gamma 90.00
loop_
_atom_site_label
_atom_site_type_symbol
_atom_site_fract_x
_atom_site_fract_y
_atom_site_fract_z
Li1 Li 0.012 0.000 0.168
Li2 Li 0.154 0.500 0.388
Mg1 Mg 0.000 0.000 0.500
Mg2 Mg 0.174 0.500 0.059
Hg1 Hg 0.175 0.500 0.724
```

The formation energy comes out at -0.226 eV/atom. The density of states at the Fermi level comes out at 6.5 states/eV/cell.

=====

No. 6
CaHg2Au10 after structural relaxation, computed with GGA-PBE.

Geometry as CIF:
```
data_CaHg2Au10
_chemical_formula_sum 'Ca4 Hg8 Au40'
_space_group_name_H-M_alt 'F m m m'
_space_group_IT_number 69
_space_group_name_Hall '-F 2 2'
_cell_length_a 5.772
_cell_length_b 13.103
_cell_length_c 14.057
_cell_angle_alpha 90.00
_cell_angle_beta 90.00
_cell_angle_gamma 90.00
loop_
_atom_site_label
_atom_site_type_symbol
_atom_site_fract_x
_atom_site_fract_y
_atom_site_fract_z
Ca1 Ca 0.000 0.000 0.000
Hg1 Hg 0.250 0.000 0.250
Au1 Au 0.000 0.107 0.395
Au2 Au 0.000 0.179 0.169
Au3 Au 0.250 0.250 0.000
```

The formation energy comes out at -0.103 eV/atom. The density of states at the Fermi level comes out at 16.9 states/eV/cell.

=====

No. 7
ZrCu2Ni after structural relaxation, computed with GGA-PBE.

Geometry as CIF:
```
data_ZrCu2Ni
_chemical_formula_sum 'Zr3 Cu6 Ni3'
_space_group_name_H-M_alt 'R 3 m'
_space_group_IT_number 160
_space_group_name_Hall 'R 3 -2"'
_cell_length_a 2.8145
_cell_length_b 2.8145
_cell_length_c 25.6174
_cell_angle_alpha 90.00
_cell_angle_beta 90.00
_cell_angle_gamma 120.00
loop_
_atom_site_label
_atom_site_type_symbol
_atom_site_fract_x
_atom_site_fract_y
_atom_site_fract_z
Zr1 Zr 0.0000 0.0000 0.0000
Cu1 Cu 0.0000 0.0000 0.5034
Cu2 Cu 0.0000 0.0000 0.7605
Ni1 Ni 0.0000 0.0000 0.2454
```

The formation energy comes out at 0.168 eV/atom. The density of states at the Fermi level comes out at 10.2 states/eV/cell.

=====

No. 8
TbTlSi2O6 after structural relaxation, computed with GGA-PBE.

Geometry as CIF:
```
data_TbTlSi2O6
_chemical_formula_sum 'Tb4 Tl4 Si8 O24'
_space_group_name_H-M_alt 'C 1 2/c 1'
_space_group_IT_number 15
_space_group_name_Hall '-C 2yc'
_cell_length_a 10.428
_cell_length_b 10.069
_cell_length_c 5.497
_cell_angle_alpha 90.00
_cell_angle_beta 101.83
_cell_angle_gamma 90.00
loop_
_atom_site_label
_atom_site_type_symbol
_atom_site_fract_x
_atom_site_fract_y
_atom_site_fract_z
Tb1 Tb 0.000 0.119 0.250
Tl1 Tl 0.000 0.319 0.750
Si1 Si 0.220 0.420 0.297
O1 O 0.121 0.063 0.635
O2 O 0.153 0.275 0.248
O3 O 0.165 0.492 0.535
```

Its formation energy from raw total energies is -2.68 eV/atom. The density of states at the Fermi level comes out at 0.0 states/eV/cell.

=====

no.,E_tot (eV per atom)
1,-3.769
2,-4.534
3,-5.851
4,-5.788
5,-1.675
6,-2.825
7,-5.462
8,-7.443